SiTc2Pt: optimized geometry, PBE-GGA.

Results
As for the uncorrected formation energy: -0.125 eV per atom. The space group is No. 139.

a b c (Å): 4.692 4.692 4.692
angles (deg): 131.26 131.26 71.41
Fractional positions:
Pt  0.250  0.750  0.500
Si  0.750  0.250  0.500
Tc  0.000  0.000  0.000
Tc  0.500  0.500  0.000


SiTc2Pt: optimized geometry, PBE-GGA.

Results
As for the uncorrected formation energy: -0.284 eV per atom. The space group is No. 38.

a b c (Å): 3.985 2.800 5.354
angles (deg): 74.84 90.00 90.00
Fractional positions:
Pt  0.000  0.684  0.507
Si  0.500  0.552  0.769
Tc  0.000  0.943  0.989
Tc  0.500  0.321  0.234


SiTc2Pt: optimized geometry, PBE-GGA.

Results
As for the uncorrected formation energy: -0.191 eV per atom. The space group is No. 119.

a b c (Å): 4.668 4.668 4.668
angles (deg): 130.77 130.77 72.19
Fractional positions:
Pt  0.500  0.500  0.000
Si  0.750  0.250  0.500
Tc  0.000  0.000  0.000
Tc  0.250  0.750  0.500


Si2TcPt: optimized geometry, PBE-GGA.

Results
As for the uncorrected formation energy: 0.197 eV per atom. The space group is No. 216.

a b c (Å): 4.365 4.365 4.365
angles (deg): 60.00 60.00 60.00
Each line ends with the local moment (μB).
Fractional positions:
Pt  0.500  0.500  0.500  0.05
Si  0.000  0.000  0.000  -0.01
Si  0.250  0.250  0.250  0.02
Tc  0.750  0.750  0.750  0.58


SiTc2Pt: optimized geometry, PBE-GGA.

Results
As for the uncorrected formation energy: -0.177 eV per atom. The space group is No. 8.

a b c (Å): 4.674 4.674 4.692
angles (deg): 81.84 81.84 34.52
Fractional positions:
Pt  0.500  0.500  0.520
Si  0.748  0.748  0.738
Tc  0.999  0.999  0.017
Tc  0.253  0.253  0.225


Si2TcPt: optimized geometry, PBE-GGA.

Results
As for the uncorrected formation energy: -0.340 eV per atom. The space group is No. 12.

a b c (Å): 4.230 4.230 4.966
angles (deg): 78.03 78.03 40.68
Fractional positions:
Pt  0.750  0.750  0.750
Si  0.997  0.997  0.022
Si  0.503  0.503  0.478
Tc  0.250  0.250  0.250


Si2TcPt: optimized geometry, PBE-GGA.

Results
As for the uncorrected formation energy: 0.142 eV per atom. The space group is No. 122.

a b c (Å): 5.619 5.619 6.370
angles (deg): 63.83 63.83 90.00
Fractional positions:
Si  0.627  0.125  0.250
Si  0.123  0.625  0.250
Si  0.375  0.373  0.750
Si  0.875  0.877  0.750
Tc  0.500  0.500  0.000
Tc  0.250  0.750  0.500
Pt  0.000  0.000  0.000
Pt  0.750  0.250  0.500


SiTc2Pt: optimized geometry, PBE-GGA.

Results
As for the uncorrected formation energy: -0.180 eV per atom. The space group is No. 10.

a b c (Å): 4.009 2.785 5.418
angles (deg): 72.14 90.00 90.00
Fractional positions:
Pt  0.500  0.250  0.250
Si  0.500  0.750  0.750
Tc  0.000  0.901  0.978
Tc  0.000  0.599  0.522